VASP calculation (PBE-GGA) on PrDyMgTl after structural relaxation.

Summary:
SG   F-43m, No. 216
Raw total energy   -14.325 eV per cell
E_form   -23.7 kJ per mole of atoms
N(E_F)   0.91 states/eV/atom

POSCAR file:
```
PrDyMgTl
1.0
-1.705 -4.608 -2.342
3.135 -2.506 -3.676
2.394 -4.729 1.236
Pr Tl Mg Dy
1 1 1 1
Cartesian
1.912 -5.921 -2.391
2.867 -8.882 -3.586
0.956 -2.961 -1.195
0.000 0.000 0.000
```

VASP calculation (PBE-GGA) on PrDy2MgTl4 after structural relaxation.

Summary:
SG   R-3m, No. 166
Raw total energy   -27.392 eV per cell
E_form   -28.3 kJ per mole of atoms
N(E_F)   0.60 states/eV/atom

POSCAR file:
```
PrDy2MgTl4
1.0
5.295 0.000 0.000
2.648 4.586 0.000
2.648 1.529 9.082
Pr Dy Mg Tl
1 2 1 4
Cartesian
0.000 0.000 0.000
7.943 4.586 6.631
2.648 1.529 2.451
5.295 3.057 4.541
5.295 3.057 7.853
7.943 4.586 3.426
2.648 1.529 5.657
5.295 3.057 1.230
```

VASP calculation (PBE-GGA) on PrDy2TmMg after structural relaxation.

Summary:
SG   P2_1/m, No. 11
Raw total energy   -39.931 eV per cell
E_form   1.6 kJ per mole of atoms
N(E_F)   1.45 states/eV/atom

POSCAR file:
```
PrDy2TmMg
1.0
-4.446 0.039 -3.411
1.667 -5.525 -2.236
-3.984 -6.807 5.116
Pr Dy Tm Mg
2 4 2 2
Cartesian
-5.203 -6.074 -0.192
-1.560 -6.219 -0.339
-5.283 -9.562 -0.128
-1.481 -2.731 -0.403
-3.496 -4.208 2.208
-3.267 -8.086 -2.738
-3.688 -11.452 2.376
-3.075 -0.842 -2.906
-3.139 -4.446 -2.865
-3.625 -7.847 2.334
```

VASP calculation (PBE-GGA) on Pr2DyTm2Mg5 after structural relaxation.

Summary:
SG   P4/mbm, No. 127
Raw total energy   -61.633 eV per cell
E_form   2.5 kJ per mole of atoms
N(E_F)   0.68 states/eV/atom

POSCAR file:
```
Pr2DyTm2Mg5
1.0
5.071 0.000 0.000
0.000 10.622 0.000
0.000 0.000 10.622
Pr Dy Tm Mg
4 2 4 10
Cartesian
0.000 7.189 1.878
0.000 3.433 8.744
0.000 1.878 3.433
0.000 8.744 7.189
0.000 0.000 0.000
0.000 5.311 5.311
0.000 1.268 6.579
0.000 9.355 4.044
0.000 6.579 9.355
0.000 4.044 1.268
2.535 2.112 0.744
2.535 8.510 9.878
2.535 0.744 8.510
2.535 7.423 4.567
2.535 9.878 2.112
2.535 3.199 6.055
2.535 6.055 7.423
2.535 4.567 3.199
2.535 5.311 0.000
2.535 0.000 5.311
```

VASP calculation (PBE-GGA) on Pr6Dy2Tm3Mg after structural relaxation.

Summary:
SG   C2/m, No. 12
Raw total energy   -52.618 eV per cell
E_form   2.2 kJ per mole of atoms
N(E_F)   0.98 states/eV/atom

POSCAR file:
```
Pr6Dy2Tm3Mg
1.0
-5.340 -2.960 -1.333
4.334 0.780 -4.434
5.195 -9.377 4.900
Pr Dy Tm Mg
6 2 3 1
Cartesian
1.531 -9.288 -0.140
0.549 -3.991 -3.098
2.658 -2.269 -0.726
4.747 -8.044 -1.171
3.639 -7.565 2.232
-0.559 -3.512 0.305
1.110 -0.467 -3.400
-2.116 -1.713 -2.366
5.320 -4.532 -1.467
-1.131 -7.025 0.601
2.094 -5.778 -0.433
0.000 0.000 0.000
```

VASP calculation (PBE-GGA) on Pr3Dy6Tm2Mg after structural relaxation.

Summary:
SG   C2/m, No. 12
Raw total energy   -52.033 eV per cell
E_form   3.7 kJ per mole of atoms
N(E_F)   1.41 states/eV/atom

POSCAR file:
```
Pr3Dy6Tm2Mg
1.0
6.188 -0.002 0.009
-3.095 5.359 0.009
-1.053 -1.823 11.521
Pr Dy Tm Mg
3 6 2 1
Cartesian
-2.084 3.560 5.769
4.125 -0.027 5.769
1.020 1.767 5.769
3.078 1.765 8.740
2.055 3.559 2.813
-1.038 1.768 2.798
-0.010 3.549 8.740
-0.015 -0.026 8.725
2.050 -0.015 2.798
0.004 3.569 0.009
3.090 1.787 0.009
0.000 0.000 0.000
```

VASP calculation (PBE-GGA) on Pr2Dy6Tm3Mg after structural relaxation.

Summary:
SG   C2/m, No. 12
Raw total energy   -51.934 eV per cell
E_form   2.0 kJ per mole of atoms
N(E_F)   1.41 states/eV/atom

POSCAR file:
```
Pr2Dy6Tm3Mg
1.0
-0.099 -0.053 -6.115
2.928 -4.416 3.055
-10.636 -4.774 1.240
Pr Dy Tm Mg
2 6 3 1
Cartesian
1.918 -2.961 -0.004
0.911 -1.509 -3.056
-6.314 -6.192 -2.890
-0.580 -4.580 -1.987
-1.493 -3.051 1.069
-5.312 -7.637 0.148
-7.227 -4.663 0.167
-2.495 -1.606 -1.968
-2.891 -6.080 2.156
-4.916 -3.163 -3.977
-3.903 -4.622 -0.910
0.000 0.000 0.000
```

VASP calculation (PBE-GGA) on Pr3Dy2Y6Mg after structural relaxation.

Summary:
SG   C2/m, No. 12
Raw total energy   -63.534 eV per cell
E_form   3.1 kJ per mole of atoms
N(E_F)   1.55 states/eV/atom

POSCAR file:
```
Pr3Dy2Y6Mg
1.0
-3.406 -2.759 -4.414
4.576 -3.135 2.817
-7.894 -1.705 8.626
Pr Dy Y Mg
3 2 6 1
Cartesian
-0.693 -3.926 5.933
-6.032 -3.674 1.096
-3.362 -3.800 3.514
1.913 -3.010 0.404
-0.743 -2.885 -2.002
-6.412 -5.669 4.120
-1.054 -4.829 0.912
-0.313 -1.930 2.909
-3.764 -5.794 6.518
-5.671 -2.770 6.117
-2.961 -1.806 0.510
0.000 0.000 0.000
```